ZrTi3Se8 | PBE-GGA | relaxed

Summary:
Its crystal system is monoclinic. The space group is No. 12. The volume comes out at 311 Å³ per cell. As for the energy: -73.98 eV for the cell shown.

Geometry as POSCAR:
```
ZrTi3Se8
1.0
7.2215 0.0000 0.0000
-3.6108 5.1150 -3.5763
0.0000 0.4664 8.0916
Zr Ti Se
1 3 8
Cartesian
0.0000 0.0000 0.0000 Zr
3.6108 0.0000 0.0000 Ti
1.8054 2.5575 -1.7882 Ti
-1.8054 2.5575 -1.7882 Ti
0.0000 3.0044 4.4610 Se
3.6108 2.5770 0.0543 Se
1.8751 0.4481 6.1812 Se
5.3464 0.4481 6.1812 Se
3.6108 2.9064 4.4624 Se
0.0000 2.6749 0.0529 Se
-1.7356 5.1332 -1.6659 Se
1.7356 5.1332 -1.6659 Se
```